CaIn2SnH | Alexandria | PBE | relaxed; Fermi-level density of states = 0.507 states/eV per atom; energy = -3.14 eV per atom
1.0
4.856 0.000 0.000
0.000 4.856 0.000
0.000 0.000 4.687
Ca In Sn H
1 2 1 1
direct
0.000 0.000 0.000
0.000 0.500 0.500
0.500 0.000 0.500
0.500 0.500 0.000
0.000 0.000 0.500